[1]
Material: ZrCd3
Method: DFT, PBE-GGA
State: relaxed

Calculated values
The total energy is -2.86 eV per atom. Its formation energy is -0.14 eV/f.u.

Cell: 3.136 3.136 10.343 Å, 90.00 90.00 120.00°
Fractional positions:
Zr1 0.333 0.667 0.750
Cd1 0.000 0.000 0.001
Cd2 0.000 0.000 0.499
Cd3 0.333 0.667 0.250

---

[2]
Material: ZrCd
Method: DFT, PBE-GGA
State: relaxed

Calculated values
The total energy is -4.63 eV per atom. Its formation energy is 0.20 eV/f.u.

Cell: 11.124 11.124 3.143 Å, 90.00 90.00 90.00°
Fractional positions:
Zr1 0.401 0.866 0.000
Zr2 0.599 0.134 0.000
Zr3 0.134 0.401 0.000
Zr4 0.866 0.599 0.000
Zr5 0.901 0.366 0.500
Zr6 0.099 0.634 0.500
Zr7 0.634 0.901 0.500
Zr8 0.366 0.099 0.500
Cd1 0.409 0.339 0.000
Cd2 0.591 0.661 0.000
Cd3 0.661 0.409 0.000
Cd4 0.339 0.591 0.000
Cd5 0.909 0.839 0.500
Cd6 0.091 0.161 0.500
Cd7 0.161 0.909 0.500
Cd8 0.839 0.091 0.500

---

[3]
Material: Zr3Cd
Method: DFT, PBE-GGA
State: relaxed

Calculated values
The total energy is -6.59 eV per atom. Its formation energy is 0.19 eV/f.u.

Cell: 5.002 5.002 5.002 Å, 60.00 60.00 60.00°
Fractional positions:
Cd1 0.000 0.000 0.000
Zr1 0.250 0.250 0.250
Zr2 0.500 0.500 0.500
Zr3 0.750 0.750 0.750

---

[4]
Material: Zr6Cd7
Method: DFT, PBE-GGA
State: relaxed

Calculated values
The total energy is -4.49 eV per atom. Its formation energy is -0.70 eV/f.u.

Cell: 10.710 10.710 10.710 Å, 30.64 30.64 30.64°
Fractional positions:
Zr1 0.956 0.956 0.956
Zr2 0.044 0.044 0.044
Zr3 0.851 0.851 0.851
Zr4 0.149 0.149 0.149
Zr5 0.666 0.666 0.666
Zr6 0.334 0.334 0.334
Cd1 0.915 0.408 0.408
Cd2 0.408 0.408 0.915
Cd3 0.408 0.915 0.408
Cd4 0.085 0.592 0.592
Cd5 0.592 0.085 0.592
Cd6 0.592 0.592 0.085
Cd7 0.500 0.500 0.500

---

[5]
Material: ZrCd
Method: DFT, PBE-GGA
State: relaxed

Calculated values
The total energy is -4.22 eV per atom. Its formation energy is 1.02 eV/f.u.

Cell: 4.455 4.455 6.055 Å, 90.00 90.00 120.00°
Fractional positions:
Cd1 0.333 0.667 0.250
Cd2 0.667 0.333 0.750
Zr1 0.000 0.000 0.000
Zr2 0.000 0.000 0.500

---

[6]
Material: ZrCd3
Method: DFT, PBE-GGA
State: relaxed

Calculated values
The total energy is -2.85 eV per atom. Its formation energy is -0.13 eV/f.u.

Cell: 6.152 6.152 6.152 Å, 152.60 124.10 63.36°
Fractional positions:
Zr1 0.679 0.000 0.679
Cd1 0.735 0.746 0.989
Cd2 0.244 0.254 0.989
Cd3 0.176 0.500 0.676

---

[7]
Material: ZrCd5
Method: DFT, PBE-GGA
State: relaxed

Calculated values
The total energy is -2.25 eV per atom. Its formation energy is -0.39 eV/f.u.

Cell: 6.797 6.797 4.536 Å, 90.00 90.00 141.55°
Fractional positions:
Cd1 0.812 0.188 0.500
Cd2 0.644 0.356 0.000
Cd3 0.472 0.528 0.500
Cd4 0.301 0.699 0.000
Cd5 0.133 0.867 0.500
Zr1 0.972 0.028 0.000

---

[8]
Material: ZrCd5
Method: DFT, PBE-GGA
State: relaxed

Calculated values
The total energy is -2.23 eV per atom. Its formation energy is -0.25 eV/f.u.

Cell: 7.078 7.078 13.807 Å, 150.62 150.62 25.11°
Fractional positions:
Cd1 0.975 0.975 0.944
Cd2 0.147 0.147 0.782
Cd3 0.305 0.305 0.611
Cd4 0.464 0.464 0.440
Cd5 0.636 0.636 0.278
Zr1 0.806 0.806 0.111

---

[9]
Material: Zr7Cd6
Method: DFT, PBE-GGA
State: relaxed

Calculated values
The total energy is -4.87 eV per atom. Its formation energy is 2.01 eV/f.u.

Cell: 10.893 10.893 10.893 Å, 30.85 30.85 30.85°
Fractional positions:
Zr1 0.914 0.410 0.410
Zr2 0.410 0.410 0.914
Zr3 0.410 0.914 0.410
Zr4 0.086 0.590 0.590
Zr5 0.590 0.086 0.590
Zr6 0.590 0.590 0.086
Zr7 0.500 0.500 0.500
Cd1 0.951 0.951 0.951
Cd2 0.049 0.049 0.049
Cd3 0.849 0.849 0.849
Cd4 0.151 0.151 0.151
Cd5 0.666 0.666 0.666
Cd6 0.334 0.334 0.334

---

[10]
Material: ZrCd2
Method: DFT, PBE-GGA
State: relaxed

Calculated values
The total energy is -3.51 eV per atom. Its formation energy is -0.15 eV/f.u.

Cell: 6.789 6.789 4.493 Å, 90.00 90.00 141.32°
Fractional positions:
Cd1 0.585 0.415 0.250
Cd2 0.415 0.585 0.750
Cd3 0.249 0.751 0.250
Cd4 0.751 0.249 0.750
Zr1 0.914 0.086 0.250
Zr2 0.086 0.914 0.750

---

[11]
Material: Zr5Cd
Method: DFT, PBE-GGA
State: relaxed

Calculated values
The total energy is -7.29 eV per atom. The calculation puts the energy above the lowest structure with this stoichiometry at 0.13 eV/f.u. Its formation energy is -0.09 eV/f.u.

Cell: 6.095 6.095 12.261 Å, 140.49 140.49 30.15°
Fractional positions:
Cd1 0.998 0.998 0.004
Zr1 0.113 0.113 0.720
Zr2 0.344 0.344 0.670
Zr3 0.452 0.452 0.393
Zr4 0.660 0.660 0.326
Zr5 0.768 0.768 0.054

---

[12]
Material: ZrCd2
Method: DFT, PBE-GGA
State: relaxed

Calculated values
The total energy is -3.53 eV per atom. Its formation energy is -0.20 eV/f.u.

Cell: 6.313 4.488 9.182 Å, 90.00 90.00 90.00°
Fractional positions:
Cd1 0.093 0.250 0.257
Cd2 0.141 0.250 0.585
Cd3 0.359 0.750 0.085
Cd4 0.407 0.750 0.757
Cd5 0.593 0.250 0.243
Cd6 0.641 0.250 0.915
Cd7 0.859 0.750 0.415
Cd8 0.907 0.750 0.743
Zr1 0.138 0.250 0.920
Zr2 0.362 0.750 0.420
Zr3 0.638 0.250 0.580
Zr4 0.862 0.750 0.080

---

Number 2 is which compound? ZrCd